(1)
The following is a DFT calculation (GGA-PBE) of crystalline Mg2Zn5CoCu2 at its relaxed geometry.

Output
SG: P4/mbm (127)
Raw total energy: -50.86 eV for the cell shown
ΔE_f: -0.057 eV per atom

Lattice parameters (Å, degrees): 3.8454 8.7768 8.7768 90.00 90.00 90.00
Atoms (fractional coordinates):
Co: 0.0000 0.5000 0.5000
Co: 0.0000 0.0000 0.0000
Mg: 0.0000 0.6778 0.1778
Mg: 0.0000 0.1778 0.3222
Mg: 0.0000 0.8222 0.6778
Mg: 0.0000 0.3222 0.8222
Zn: 0.5000 0.4380 0.3029
Zn: 0.5000 0.1971 0.0620
Zn: 0.5000 0.8029 0.9380
Zn: 0.5000 0.0620 0.8029
Zn: 0.5000 0.3029 0.5620
Zn: 0.5000 0.0000 0.5000
Zn: 0.5000 0.9380 0.1971
Zn: 0.5000 0.5620 0.6971
Zn: 0.5000 0.6971 0.4380
Zn: 0.5000 0.5000 0.0000
Cu: 0.0000 0.3811 0.1189
Cu: 0.0000 0.8811 0.3811
Cu: 0.0000 0.6189 0.8811
Cu: 0.0000 0.1189 0.6189

=====

(2)
The following is a DFT calculation (GGA-PBE) of crystalline Cd6BiO8 at its relaxed geometry.

Output
SG: Fm-3m (225)
Raw total energy: -63.95 eV for the cell shown
Formation energy without anion corrections: -14.9 eV/f.u.

Lattice parameters (Å, degrees): 6.8128 6.8128 6.8128 60.00 60.00 60.00
Atoms (fractional coordinates):
O: 0.2500 0.2500 0.2500
O: 0.7702 0.2298 0.2298
O: 0.2298 0.7702 0.2298
O: 0.2298 0.2298 0.7702
O: 0.7702 0.2298 0.7702
O: 0.7702 0.7702 0.2298
O: 0.2298 0.7702 0.7702
O: 0.7500 0.7500 0.7500
Cd: 0.0000 0.0000 0.5000
Cd: 0.0000 0.5000 0.0000
Cd: 0.0000 0.5000 0.5000
Cd: 0.5000 0.0000 0.0000
Cd: 0.5000 0.0000 0.5000
Cd: 0.5000 0.5000 0.0000
Bi: 0.0000 0.0000 0.0000

=====

(3)
The following is a DFT calculation (GGA-PBE) of crystalline Tb2PmNdIn4 at its relaxed geometry.

Output
SG: R-3m (166)
Raw total energy: -33.61 eV for the cell shown
ΔE_f: -0.485 eV per atom

Lattice parameters (Å, degrees): 5.3949 5.3949 9.3567 73.24 73.24 60.00
Atoms (fractional coordinates):
Pm: 0.5000 0.5000 0.5000
Tb: 0.7500 0.7500 0.7501
Tb: 0.2500 0.2500 0.2499
In: 0.8746 0.8746 0.3762
In: 0.6247 0.6247 0.1259
In: 0.1254 0.1254 0.6238
In: 0.3753 0.3753 0.8741
Nd: 0.0000 0.0000 0.0000

=====

(4)
The following is a DFT calculation (GGA-PBE) of crystalline Mo3PdAu at its relaxed geometry.

Output
SG: Pm-3m (221)
Raw total energy: -31.48 eV for the cell shown
Polymorph energy (0 for the lowest one): 0.0 meV/atom
ΔE_f: 1.897 eV per atom

Lattice parameters (Å, degrees): 4.7033 4.7033 4.7033 90.00 90.00 90.00
Atoms (fractional coordinates):
Mo: 0.5000 0.0000 0.0000
Mo: 0.0000 0.5000 0.0000
Mo: 0.0000 0.0000 0.5000
Pd: 0.0000 0.0000 0.0000
Au: 0.5000 0.5000 0.5000